PmDyYLu after structural relaxation, computed with PBE.

The structure in POSCAR format:
```
PmDyYLu
1.0
-3.843 -1.562 -3.865
-2.246 -5.203 0.177
-5.419 -0.698 1.513
Lu Dy Pm Y
1 1 1 1
direct
0.750 0.750 0.750
0.500 0.500 0.500
0.000 0.000 0.000
0.250 0.250 0.250
```

Calculated values
ΔE_f = 0.116 eV/atom
Energy above the most stable polymorph in this dataset = 0 meV per atom
Total moment = 0.001 μB/atom

---

PmDyYLu after structural relaxation, computed with PBE.

The structure in POSCAR format:
```
PmDyYLu
1.0
-3.559 0.584 -4.378
-0.110 -3.911 -4.107
-4.468 -3.459 -0.505
Y Dy Pm Lu
1 1 1 1
direct
0.750 0.750 0.750
0.500 0.500 0.500
0.250 0.250 0.250
0.000 0.000 0.000
```

Calculated values
ΔE_f = 0.123 eV/atom
Energy above the most stable polymorph in this dataset = 7 meV per atom
Total moment = 0.000 μB/atom

---

PrDy4Lu after structural relaxation, computed with PBE.

The structure in POSCAR format:
```
PrDy4Lu
1.0
6.572 0.000 0.000
3.286 5.691 0.000
3.286 1.897 5.366
Lu Dy Pr
1 4 1
direct
0.000 0.000 0.000
0.625 0.625 0.625
0.625 0.625 0.124
0.124 0.625 0.625
0.625 0.124 0.625
0.250 0.250 0.250
```

Calculated values
ΔE_f = 0.267 eV/atom
Total moment = 0.046 μB/atom

---

PrDyLu2 after structural relaxation, computed with PBE.

The structure in POSCAR format:
```
PrDyLu2
1.0
-0.331 3.534 -0.248
-3.187 -0.188 1.571
4.330 1.031 8.907
Lu Pr Dy
2 1 1
direct
0.000 0.000 0.756
0.000 0.000 0.244
0.500 0.500 0.500
0.500 0.500 0.000
```

Calculated values
ΔE_f = 0.035 eV/atom
Energy above the most stable polymorph in this dataset = 4 meV per atom
Total moment = 0.001 μB/atom

---

PrDy2Lu after structural relaxation, computed with PBE.

The structure in POSCAR format:
```
PrDy2Lu
1.0
-4.339 -1.059 -2.404
1.938 -4.357 -1.579
-1.735 -2.270 4.132
Dy Lu Pr
2 1 1
direct
0.000 0.500 0.000
0.000 0.000 0.500
0.500 0.500 0.500
0.500 0.000 0.000
```

Calculated values
ΔE_f = 0.026 eV/atom
Energy above the most stable polymorph in this dataset = 0 meV per atom
Total moment = 0.000 μB/atom

---

PrDyLu2 after structural relaxation, computed with PBE.

The structure in POSCAR format:
```
PrDyLu2
1.0
-0.810 5.585 0.185
-4.996 2.178 -1.474
-3.378 2.234 3.934
Lu Pr Dy
2 1 1
direct
0.750 0.750 0.750
0.250 0.250 0.250
0.500 0.500 0.500
0.000 0.000 0.000
```

Calculated values
ΔE_f = 0.092 eV/atom
Energy above the most stable polymorph in this dataset = 62 meV per atom
Total moment = 0.000 μB/atom

---

PrDy2Lu after structural relaxation, computed with PBE.

The structure in POSCAR format:
```
PrDy2Lu
1.0
5.681 0.000 0.000
2.841 4.920 0.000
2.841 1.640 4.639
Dy Pr Lu
2 1 1
direct
0.250 0.250 0.250
0.750 0.750 0.750
0.500 0.500 0.500
0.000 0.000 0.000
```

Calculated values
ΔE_f = 0.148 eV/atom
Energy above the most stable polymorph in this dataset = 122 meV per atom
Total moment = 0.010 μB/atom

---

PrDy2Lu after structural relaxation, computed with PBE.

The structure in POSCAR format:
```
PrDy2Lu
1.0
3.562 0.000 0.000
0.000 3.562 0.000
0.000 0.000 10.119
Dy Lu Pr
2 1 1
direct
0.000 0.000 0.242
0.000 0.000 0.758
0.500 0.500 0.000
0.500 0.500 0.500
```

Calculated values
ΔE_f = 0.031 eV/atom
Energy above the most stable polymorph in this dataset = 5 meV per atom
Total moment = 0.000 μB/atom